{"formula": "AcNpBi2O8", "functional": "PBE", "state": "relaxed", "magmom_total_mub_per_cell": 0.0, "e_form_raw_mev_per_atom": -2192, "energy_ry_per_atom": -0.55603, "cell": [[-5.261, -1.111, -0.192], [0.892, -4.095, -3.417], [1.138, -4.589, 5.683]], "species": ["O", "O", "O", "O", "O", "O", "O", "O", "Bi", "Bi", "Np", "Ac"], "frac_coords": [[0.329, 0.316, 0.486], [0.249, 0.251, 0.033], [0.813, 0.151, 0.198], [0.824, 0.211, 0.766], [0.187, 0.849, 0.802], [0.176, 0.789, 0.234], [0.671, 0.684, 0.514], [0.751, 0.749, 0.967], [0.520, 0.485, 0.739], [0.480, 0.515, 0.261], [0.000, 0.000, 0.000], [0.000, 0.000, 0.500]]}